1.
4
Lattice="0.0000 3.3960 3.3960 3.3960 0.0000 3.3960 3.3960 3.3960 0.0000" Properties=species:S:1:pos:R:3 comment="PBE TlV2Sn, relaxed" relative_energy_ev_per_atom=0.000 dos_at_fermi_per_ev_fu=5.762 energy_ev_per_atom=-5.682 pbc="T T T"
V 1.6980 1.6980 1.6980
V 5.0939 5.0939 5.0939
Tl 3.3960 3.3960 3.3960
Sn 0.0000 0.0000 0.0000

2.
4
Lattice="8.5605 0.0242 0.0142 8.1933 2.4806 0.0142 8.1933 1.2249 2.1571" Properties=species:S:1:pos:R:3 comment="PBE MnCr2Ni, relaxed" dos_at_fermi_per_ev_fu=6.152 energy_ev_per_atom=-8.380 pbc="T T T"
Ni 18.7104 2.7973 1.6391
Cr 12.4703 1.8644 1.0924
Cr 0.0032 0.0005 0.0003
Mn 6.2368 0.9324 0.5464

3.
8
Lattice="-3.3985 4.1924 -0.6152 -5.3637 -0.8479 -0.1277 -3.2878 2.1102 8.5628" Properties=species:S:1:pos:R:3 comment="PBE Ca4Tl3Zn, relaxed" dos_at_fermi_per_ev_fu=4.392 energy_ev_per_atom=-2.439 pbc="T T T"
Ca -6.1649 3.1067 7.2683
Ca -5.8850 2.3479 0.5516
Ca -8.8971 3.7103 2.4955
Ca -3.1529 1.7443 5.3243
Tl -9.0379 4.0921 5.8747
Tl -6.0250 2.7273 3.9099
Tl -3.0121 1.3625 1.9451
Zn 0.0000 0.0000 0.0000

Copy entry 2 word for word.
4
Lattice="8.5605 0.0242 0.0142 8.1933 2.4806 0.0142 8.1933 1.2249 2.1571" Properties=species:S:1:pos:R:3 comment="PBE MnCr2Ni, relaxed" dos_at_fermi_per_ev_fu=6.152 energy_ev_per_atom=-8.380 pbc="T T T"
Ni 18.7104 2.7973 1.6391
Cr 12.4703 1.8644 1.0924
Cr 0.0032 0.0005 0.0003
Mn 6.2368 0.9324 0.5464